TlRe4Br: relaxed, GGA-PBEsol.

DFT total energy = -0.613 Ry per atom
Total magnetization = 0.00 μB per formula unit

```
data_TlRe4Br
_symmetry_space_group_name_H-M 'F -4 3 m'
_symmetry_Int_Tables_number 216
_symmetry_space_group_name_Hall 'F -4 2 3'
_cell_length_a 7.4921
_cell_length_b 7.4921
_cell_length_c 7.4921
_cell_angle_alpha 90.00
_cell_angle_beta 90.00
_cell_angle_gamma 90.00
loop_
_atom_site_label
_atom_site_type_symbol
_atom_site_fract_x
_atom_site_fract_y
_atom_site_fract_z
Tl1 Tl 0.0000 0.0000 0.0000
Re1 Re 0.1238 0.1238 0.6238
Br1 Br 0.2500 0.2500 0.2500
```